This record from Alexandria describes La2Tb7Er3 after structural relaxation. The functional is PBE.

```
La2Tb7Er3
1.0
6.3707 0.0000 0.0000
0.0000 3.5294 0.0000
-1.8722 0.0000 17.4203
La Tb Er
2 7 3
Cartesian
0.0564 0.0000 2.9889
4.4421 0.0000 14.4315
-0.9361 1.7647 8.7102
0.2167 0.0000 11.6109
-0.2258 0.0000 17.3861
1.1301 1.7647 5.8875
3.3684 1.7647 11.5328
4.7243 0.0000 0.0342
4.2818 0.0000 5.8094
1.3101 1.7647 14.6797
2.2493 0.0000 8.7102
3.1884 1.7647 2.7406
```

Values from the calculation:
Density, g/cm³: 8.0
Space-group type: P2/m (10)
Energy above the lowest structure with this stoichiometry, meV per atom: 0
Energy of formation, eV/atom: 0.078
Calculated total energy, eV per atom: -4.585
Crystal system: monoclinic


This record from Alexandria describes La7TbEr3 after structural relaxation. The functional is PBE.

```
La7TbEr3
1.0
-3.0006 5.6742 5.8207
3.0006 -5.6742 5.8207
3.0006 5.6742 -5.8207
La Tb Er
7 1 3
Cartesian
0.0000 0.0000 0.0000
3.0006 -2.1898 3.3476
3.0006 3.3030 0.0000
3.0006 2.1898 3.3476
0.0000 3.4844 2.4731
0.0000 2.3713 5.8207
0.0000 7.8641 2.4731
3.0006 0.0000 0.0000
0.0000 0.0000 3.4340
0.0000 5.6742 0.0000
0.0000 0.0000 8.2074
```

Values from the calculation:
Density, g/cm³: 6.8
Space-group type: Immm (71)
Energy above the lowest structure with this stoichiometry, meV per atom: 146
Energy of formation, eV/atom: 0.213
Calculated total energy, eV per atom: -4.588
Crystal system: orthorhombic


This record from Alexandria describes La7TbEr3 after structural relaxation. The functional is PBE.

```
La7TbEr3
1.0
6.9351 0.0000 0.0000
-3.0473 9.7394 0.0000
-2.3561 -2.8701 11.4374
La Tb Er
14 2 6
Cartesian
0.0000 0.0000 0.0000
-3.6589 4.8903 7.8522
-1.7698 2.1272 7.8319
-2.8322 3.8165 11.0318
0.0315 -0.2003 6.2043
0.4803 4.8721 2.6357
0.9899 -2.1033 9.7437
0.7640 3.4356 5.7196
2.5177 1.4552 2.1286
1.3560 8.4327 2.1115
3.3351 0.3806 5.3080
3.1564 6.1015 0.4884
4.2909 -1.4327 8.3532
4.1153 4.1958 4.0334
-1.1220 6.6679 6.0981
5.0501 3.2336 0.3755
-0.7966 1.4451 3.1795
-2.0573 7.9427 3.0565
-0.9282 0.5235 10.8781
-0.0371 4.8796 8.9016
1.7521 1.6398 8.7741
2.1932 6.8275 5.1594
```

Values from the calculation:
Density, g/cm³: 7.0
Space-group type: P1 (1)
Energy above the lowest structure with this stoichiometry, meV per atom: 0
Energy of formation, eV/atom: 0.067
Calculated total energy, eV per atom: -4.734
Crystal system: triclinic


This record from Alexandria describes LaTb7Er2 after structural relaxation. The functional is PBE.

```
LaTb7Er2
1.0
4.3979 -7.9897 0.0000
4.3979 7.9897 0.0000
0.0000 0.0000 5.6893
La Tb Er
1 7 2
Cartesian
0.0000 0.0000 0.0000
1.5600 1.8780 2.8447
4.3979 4.4179 0.0000
1.5600 -1.8780 2.8447
4.3979 0.0000 2.8447
7.2359 1.8780 2.8447
4.3979 -4.4179 0.0000
7.2359 -1.8780 2.8447
4.3979 3.2476 2.8447
4.3979 -3.2476 2.8447
```

Values from the calculation:
Density, g/cm³: 6.6
Space-group type: Cmmm (65)
Energy of formation, eV/atom: 0.682
Calculated total energy, eV per atom: -3.965
Crystal system: orthorhombic